one.
TcIr3Cl | PBE | optimized geometry

extended XYZ file:
```
5
Lattice="4.4076 0.0000 0.0000 0.0000 4.4076 0.0000 0.0000 0.0000 4.4076" Properties=species:S:1:pos:R:3 pbc="T T T"
Tc 0.0000 0.0000 0.0000
Ir 0.0000 2.2038 2.2038
Ir 2.2038 0.0000 2.2038
Ir 2.2038 2.2038 0.0000
Cl 2.2038 2.2038 2.2038
```

Space group ... Pm-3m (221)
Calculated volume ... 17.13 A^3/atom

two.
TcIr3Cl | PBE | optimized geometry

extended XYZ file:
```
5
Lattice="4.7490 0.0000 0.0000 0.0000 4.7490 0.0000 0.0000 0.0000 4.7490" Properties=species:S:1:pos:R:3 pbc="T T T"
Tc 0.0000 0.0000 0.0000
Ir 0.0000 0.0000 2.3745
Ir 0.0000 2.3745 0.0000
Ir 2.3745 0.0000 0.0000
Cl 2.3745 2.3745 2.3745
```

Space group ... Pm-3m (221)
Calculated volume ... 21.42 A^3/atom

Most favorable first, least favorable last: one, two

one.
Tc3IrCl | PBE | optimized geometry

extended XYZ file:
```
5
Lattice="4.8083 0.0000 0.0000 0.0000 4.8083 0.0000 0.0000 0.0000 4.8083" Properties=species:S:1:pos:R:3 pbc="T T T"
Tc 0.0000 0.0000 2.4042
Tc 0.0000 2.4042 0.0000
Tc 2.4042 0.0000 0.0000
Ir 0.0000 0.0000 0.0000
Cl 2.4042 2.4042 2.4042
```

Space group ... Pm-3m (221)
Calculated volume ... 22.23 A^3/atom

two.
Tc3IrCl | PBE | optimized geometry

extended XYZ file:
```
5
Lattice="4.2891 0.0000 0.0000 0.0000 4.2891 0.0000 0.0000 0.0000 4.2891" Properties=species:S:1:pos:R:3 pbc="T T T"
Tc 0.0000 0.0000 2.1445
Tc 0.0000 2.1445 0.0000
Tc 2.1445 0.0000 0.0000
Ir 2.1445 2.1445 2.1445
Cl 0.0000 0.0000 0.0000
```

Space group ... Pm-3m (221)
Calculated volume ... 15.78 A^3/atom

Most favorable first, least favorable last: two, one

one.
TeIrCl2 | PBE | optimized geometry

extended XYZ file:
```
4
Lattice="5.3279 0.0000 0.0000 0.0000 3.7143 0.0000 -1.5347 0.0000 5.2172" Properties=species:S:1:pos:R:3 pbc="T T T"
Te 0.0000 0.0000 0.0000
Ir 3.2314 1.8571 3.6445
Cl 0.7913 1.8571 3.7398
Cl 3.1115 0.0000 1.9049
```

Space group ... Pm (6)
Calculated volume ... 25.81 A^3/atom

two.
TeIrCl2 | PBE | optimized geometry

extended XYZ file:
```
4
Lattice="3.0991 0.0000 0.0000 0.0000 4.6223 0.0000 0.0000 0.0000 5.3459" Properties=species:S:1:pos:R:3 pbc="T T T"
Te 0.0000 0.0000 0.0000
Ir 1.5496 0.0000 2.6730
Cl 0.0000 2.3112 2.6730
Cl 1.5496 2.3112 0.0000
```

Space group ... Pmmm (47)
Calculated volume ... 19.15 A^3/atom

Most favorable first, least favorable last: one, two